[1]
{
  "formula": "SiBH3CNCl3",
  "functional": "GGA-PBE",
  "state": "optimized geometry",
  "cell": [[8.9507, 5.1677, 4.4069], [-8.9507, 5.1677, 4.4069], [0.0000, -10.3354, 4.4069]],
  "species": ["Si", "Si", "Si", "Si", "Si", "Si", "B", "B", "B", "B", "B", "B", "H", "H", "H", "H", "H", "H", "H", "H", "H", "H", "H", "H", "H", "H", "H", "H", "H", "H", "C", "C", "C", "C", "C", "C", "N", "N", "N", "N", "N", "N", "Cl", "Cl", "Cl", "Cl", "Cl", "Cl", "Cl", "Cl", "Cl", "Cl", "Cl", "Cl", "Cl", "Cl", "Cl", "Cl", "Cl", "Cl"],
  "fractional_positions": [[0.0531, 0.8155, 0.6313], [0.1313, 0.3155, 0.5531], [0.3155, 0.5531, 0.1313], [0.5531, 0.1313, 0.3155], [0.6313, 0.0531, 0.8155], [0.8155, 0.6313, 0.0531], [0.0469, 0.9601, 0.8838], [0.3838, 0.4601, 0.5469], [0.4601, 0.5469, 0.3838], [0.5469, 0.3838, 0.4601], [0.8838, 0.0469, 0.9601], [0.9601, 0.8838, 0.0469], [0.0457, 0.7732, 0.1642], [0.0954, 0.8246, 0.9690], [0.1642, 0.0457, 0.7732], [0.2281, 0.9423, 0.8445], [0.2732, 0.5457, 0.6642], [0.3246, 0.5954, 0.4690], [0.3445, 0.4423, 0.7281], [0.4423, 0.7281, 0.3445], [0.4690, 0.3246, 0.5954], [0.5457, 0.6642, 0.2732], [0.5954, 0.4690, 0.3246], [0.6642, 0.2732, 0.5457], [0.7281, 0.3445, 0.4423], [0.7732, 0.1642, 0.0457], [0.8246, 0.9690, 0.0954], [0.8445, 0.2281, 0.9423], [0.9423, 0.8445, 0.2281], [0.9690, 0.0954, 0.8246], [0.1354, 0.9543, 0.7948], [0.2948, 0.4543, 0.6354], [0.4543, 0.6354, 0.2948], [0.6354, 0.2948, 0.4543], [0.7948, 0.1354, 0.9543], [0.9543, 0.7948, 0.1354], [0.0409, 0.8835, 0.9672], [0.3835, 0.5409, 0.4672], [0.4672, 0.3835, 0.5409], [0.5409, 0.4672, 0.3835], [0.8835, 0.9672, 0.0409], [0.9672, 0.0409, 0.8835], [0.0008, 0.6348, 0.6530], [0.0172, 0.3284, 0.3836], [0.0241, 0.3123, 0.6760], [0.1348, 0.5008, 0.1530], [0.1530, 0.1348, 0.5008], [0.1760, 0.8123, 0.5241], [0.3123, 0.6760, 0.0241], [0.3284, 0.3836, 0.0172], [0.3836, 0.0172, 0.3284], [0.5008, 0.1530, 0.1348], [0.5172, 0.8836, 0.8284], [0.5241, 0.1760, 0.8123], [0.6348, 0.6530, 0.0008], [0.6530, 0.0008, 0.6348], [0.6760, 0.0241, 0.3123], [0.8123, 0.5241, 0.1760], [0.8284, 0.5172, 0.8836], [0.8836, 0.8284, 0.5172]],
  "spacegroup": "No. 161",
  "final_energy_ev_per_atom": -5.32
}

=====

[2]
{
  "formula": "MgSnRh2",
  "functional": "GGA-PBE",
  "state": "optimized geometry",
  "cell": [[3.2244, 0.0000, 0.0000], [0.0000, 3.2244, 0.0000], [0.0000, 0.0000, 6.2162]],
  "species": ["Mg", "Sn", "Rh", "Rh"],
  "fractional_positions": [[0.0000, 0.0000, 0.0000], [0.0000, 0.0000, 0.5000], [0.5000, 0.5000, 0.2544], [0.5000, 0.5000, 0.7456]],
  "spacegroup": "No. 123",
  "delta_e_f_ev_per_atom": -0.56
}